{"formula": "MnCuF2", "functional": "PBE with a Hubbard U", "state": "optimized geometry", "relative_energy_mev_per_atom": 238, "lattice": [[-4.3676, -1.2319, 1.8322], [0.6104, -4.5767, -1.6222], [0.4896, -4.2652, 4.8356]], "species": ["F", "F", "Cu", "Mn", "F", "Cu", "F", "Mn"], "fractional_positions": [[0.5747, 0.1250, 0.2500], [0.8750, 0.8247, 0.7500], [0.7500, 0.2500, 0.5000], [0.5000, 0.5000, 0.0000], [0.1753, 0.6250, 0.2500], [0.0000, 0.0000, 0.0000], [0.3750, 0.4253, 0.7500], [0.2500, 0.7500, 0.5000]]}